(1)
# YH8Pd3Pt2

Crystalline YH8Pd3Pt2 at its relaxed geometry (PBE-GGA, Alexandria).

The space group is R3m (No. 160, hexagonal axes) and the conventional cell measures 5.7573, 5.7573 and 14.2372 Å, with angles of 90.00, 90.00 and 120.00 degrees. The distinct sites, in fractional coordinates, are Y at (0.0000, 0.0000, 0.0000), H at (0.0000, 0.0000, 0.1514), H at (0.0000, 0.0000, 0.6185), H at (0.0132, 0.5066, 0.1192), H at (0.2100, 0.4200, 0.9496), Pd at (0.1694, 0.3389, 0.2051), Pt at (0.0000, 0.0000, 0.3741) and Pt at (0.0000, 0.0000, 0.7471).

As for the mass density: 9829 kg/m³. The calculation puts the final energy at -63.02 eV per formula unit. The calculation puts the density of states at the Fermi level at 5.29 states/eV/f.u.

(2)
# YH6Pd2Pt2

Crystalline YH6Pd2Pt2 at its relaxed geometry (PBE-GGA, Alexandria).

The space group is C2/m (No. 12) and the conventional cell measures 9.060, 4.715 and 5.761 Å, with angles of 90.00, 102.59 and 90.00 degrees. The distinct sites, in fractional coordinates, are Y at (0.000, 0.000, 0.000), H at (0.084, 0.500, 0.085), H at (0.144, 0.264, 0.607), Pd at (0.192, 0.500, 0.366) and Pt at (0.172, 0.500, 0.848).

As for the mass density: 9649 kg/m³. The calculation puts the final energy at -52.01 eV per formula unit. The calculation puts the density of states at the Fermi level at 1.09 states/eV/f.u.

(3)
# Zn2HPdPt

Crystalline Zn2HPdPt at its relaxed geometry (PBE-GGA, Alexandria).

The space group is P4/mmm (No. 123) and the conventional cell measures 4.150, 4.150 and 3.601 Å, with angles of 90.00, 90.00 and 90.00 degrees. The distinct sites, in fractional coordinates, are Zn at (0.000, 0.500, 0.000), H at (0.000, 0.000, 0.000), Pd at (0.500, 0.500, 0.500) and Pt at (0.000, 0.000, 0.500).

As for the mass density: 11602 kg/m³. The calculation puts the final energy at -18.53 eV per formula unit. The calculation puts the density of states at the Fermi level at 0.62 states/eV/f.u.

(4)
# ZnH2PdPt

Crystalline ZnH2PdPt at its relaxed geometry (PBE-GGA, Alexandria).

The space group is I4mm (No. 107) and the conventional cell measures 3.209, 3.209 and 10.112 Å, with angles of 90.00, 90.00 and 90.00 degrees. The distinct sites, in fractional coordinates, are Zn at (0.000, 0.000, 0.000), H at (0.000, 0.500, 0.264), Pd at (0.000, 0.000, 0.641) and Pt at (0.000, 0.000, 0.353).

As for the mass density: 11769 kg/m³. The calculation puts the final energy at -20.07 eV per formula unit. The calculation puts the density of states at the Fermi level at 1.00 states/eV/f.u.

(5)
# ZnHPd2Pt

Crystalline ZnHPd2Pt at its relaxed geometry (PBE-GGA, Alexandria).

The space group is P4/mmm (No. 123) and the conventional cell measures 3.874, 3.874 and 4.191 Å, with angles of 90.00, 90.00 and 90.00 degrees. The distinct sites, in fractional coordinates, are Zn at (0.000, 0.000, 0.000), H at (0.000, 0.000, 0.500), Pd at (0.000, 0.500, 0.500) and Pt at (0.500, 0.500, 0.000).

The value obtained for the excess energy over the best structure of this formula in the dataset is 0.0908 eV/atom. As for the mass density: 12525 kg/m³. The calculation puts the final energy at -21.98 eV per formula unit. The calculation puts the density of states at the Fermi level at 4.16 states/eV/f.u.

(6)
# Zn2HPdPt

Crystalline Zn2HPdPt at its relaxed geometry (PBE-GGA, Alexandria).

The space group is P4/mmm (No. 123) and the conventional cell measures 4.157, 4.157 and 3.558 Å, with angles of 90.00, 90.00 and 90.00 degrees. The distinct sites, in fractional coordinates, are Zn at (0.000, 0.500, 0.000), H at (0.000, 0.000, 0.000), Pd at (0.000, 0.000, 0.500) and Pt at (0.500, 0.500, 0.500).

As for the mass density: 11707 kg/m³. The calculation puts the final energy at -18.52 eV per formula unit. The calculation puts the density of states at the Fermi level at 0.95 states/eV/f.u.

(7)
# ZnHPd2Pt

Crystalline ZnHPd2Pt at its relaxed geometry (PBE-GGA, Alexandria).

The space group is P4/mmm (No. 123) and the conventional cell measures 4.005, 4.005 and 3.941 Å, with angles of 90.00, 90.00 and 90.00 degrees. The distinct sites, in fractional coordinates, are Zn at (0.000, 0.000, 0.000), H at (0.500, 0.500, 0.500), Pd at (0.000, 0.500, 0.500) and Pt at (0.500, 0.500, 0.000).

The value obtained for the excess energy over the best structure of this formula in the dataset is 0.0000 eV/atom. As for the mass density: 12462 kg/m³. The calculation puts the final energy at -22.43 eV per formula unit. The calculation puts the density of states at the Fermi level at 5.22 states/eV/f.u.

(8)
# ZrHPd2Pt

Crystalline ZrHPd2Pt at its relaxed geometry (PBE-GGA, Alexandria).

The space group is P4/mmm (No. 123) and the conventional cell measures 4.038, 4.038 and 4.263 Å, with angles of 90.00, 90.00 and 90.00 degrees. The distinct sites, in fractional coordinates, are Zr at (0.000, 0.000, 0.000), H at (0.500, 0.500, 0.500), Pd at (0.000, 0.500, 0.500) and Pt at (0.500, 0.500, 0.000).

The value obtained for the excess energy over the best structure of this formula in the dataset is 0.0779 eV/atom. As for the mass density: 11947 kg/m³. The calculation puts the final energy at -30.79 eV per formula unit. The calculation puts the density of states at the Fermi level at 4.39 states/eV/f.u.

(9)
# ZrHPdPt2

Crystalline ZrHPdPt2 at its relaxed geometry (PBE-GGA, Alexandria).

The space group is P4/mmm (No. 123) and the conventional cell measures 4.067, 4.067 and 4.213 Å, with angles of 90.00, 90.00 and 90.00 degrees. The distinct sites, in fractional coordinates, are Zr at (0.000, 0.000, 0.000), H at (0.500, 0.500, 0.500), Pd at (0.500, 0.500, 0.000) and Pt at (0.000, 0.500, 0.500).

The value obtained for the excess energy over the best structure of this formula in the dataset is 0.0336 eV/atom. As for the mass density: 14033 kg/m³. The calculation puts the final energy at -31.82 eV per formula unit. The calculation puts the density of states at the Fermi level at 4.24 states/eV/f.u.

(10)
# ZrHPd2Pt

Crystalline ZrHPd2Pt at its relaxed geometry (PBE-GGA, Alexandria).

The space group is P4/mmm (No. 123) and the conventional cell measures 4.010, 4.010 and 4.302 Å, with angles of 90.00, 90.00 and 90.00 degrees. The distinct sites, in fractional coordinates, are Zr at (0.000, 0.000, 0.000), H at (0.000, 0.000, 0.500), Pd at (0.000, 0.500, 0.500) and Pt at (0.500, 0.500, 0.000).

The value obtained for the excess energy over the best structure of this formula in the dataset is 0.0000 eV/atom. As for the mass density: 12007 kg/m³. The calculation puts the final energy at -31.18 eV per formula unit. The calculation puts the density of states at the Fermi level at 3.11 states/eV/f.u.

(11)
# ZrHPdPt2

Crystalline ZrHPdPt2 at its relaxed geometry (PBE-GGA, Alexandria).

The space group is P4/mmm (No. 123) and the conventional cell measures 4.033, 4.033 and 4.275 Å, with angles of 90.00, 90.00 and 90.00 degrees. The distinct sites, in fractional coordinates, are Zr at (0.000, 0.000, 0.000), H at (0.000, 0.000, 0.500), Pd at (0.500, 0.500, 0.000) and Pt at (0.000, 0.500, 0.500).

The value obtained for the excess energy over the best structure of this formula in the dataset is 0.0000 eV/atom. As for the mass density: 14064 kg/m³. The calculation puts the final energy at -31.98 eV per formula unit. The calculation puts the density of states at the Fermi level at 1.57 states/eV/f.u.

(12)
# Pu3H7Pd2

Crystalline Pu3H7Pd2 at its relaxed geometry (PBE-GGA, Alexandria).

The space group is Cmmm (No. 65) and the conventional cell measures 3.333, 15.203 and 5.762 Å, with angles of 90.00, 90.00 and 90.00 degrees. The distinct sites, in fractional coordinates, are Pu at (0.000, 0.000, 0.000), Pu at (0.000, 0.197, 0.000), H at (0.000, 0.293, 0.500), H at (0.000, 0.398, 0.000), H at (0.000, 0.432, 0.500), H at (0.000, 0.500, 0.500) and Pd at (0.000, 0.162, 0.500).

As for the mass density: 10826 kg/m³. The calculation puts the final energy at -73.44 eV per formula unit. The calculation puts the density of states at the Fermi level at 12.27 states/eV/f.u.

Among the records above, which one has the lowest mass density?
YH6Pd2Pt2

Which of these has the highest final energy?
number 6

What is the mass density in the ninth record?
14033 kg/m³